1.
The following is a SCAN calculation of a crystal of La2Sb3 relaxed with PBEsol, from Alexandria.

Cell lengths 4.2114, 4.2114, 31.7504 Å; angles 90.00, 90.00, 120.00 degrees
Closest atoms and distances in Å follow each position.
Space group R-3m (No. 166, hexagonal axes)
Inequivalent atoms, fractional coordinates:
1 La 0.0000 0.0000 0.1050 [6 per cell]  6 Sb 3.12-3.40
2 Sb 0.0000 0.0000 0.3033 [6 per cell]  3 Sb 3.09, 3 La 3.40
3 Sb 0.0000 0.0000 0.5000 [3 per cell]  6 La 3.12

Computed properties:
**ρ**: 6.57 g cm⁻³
**Volume**: 32.5 A^3/atom
**Formation energy from raw total energies**: -3.27 eV per formula unit
**Total magnetic moment**: 0.01 Bohr magnetons per cell

2.
The following is a SCAN calculation of a crystal of CdMoRh relaxed with PBEsol, from Alexandria.

Cell lengths 6.0752, 6.0752, 6.0752 Å; angles 90.00, 90.00, 90.00 degrees
Closest atoms and distances in Å follow each position.
Space group F-43m (No. 216)
Inequivalent atoms, fractional coordinates:
1 Cd 0.0000 0.0000 0.0000 [4 per cell]  4 Mo 2.63
2 Mo 0.2500 0.2500 0.7500 [4 per cell]  4 Cd 2.63, 4 Rh 2.63
3 Rh 0.0000 0.0000 0.5000 [4 per cell]  4 Mo 2.63

Computed properties:
**ρ**: 9.22 g cm⁻³
**Volume**: 18.7 A^3/atom
**Energy of formation**: 0.787 eV per atom
**Relative energy among the computed polymorphs**: 0.6899 eV per atom
**Total magnetic moment**: 3.56 Bohr magnetons per cell

3.
The following is a SCAN calculation of a crystal of In2SnPb relaxed with PBEsol, from Alexandria.

Cell lengths 3.2319, 3.2319, 10.2652 Å; angles 90.00, 90.00, 90.00 degrees
Closest atoms and distances in Å follow each position.
Space group P4mm (No. 99)
Inequivalent atoms, fractional coordinates:
1 In 0.0000 0.0000 0.0000 [1 per cell]  8 In 3.23-3.39, 4 Sn 3.39
2 In 0.5000 0.5000 0.2433 [1 per cell]  8 In 3.23-3.39, 4 Pb 3.49
3 Sn 0.5000 0.5000 0.7565 [1 per cell]  4 Sn 3.23, 4 In 3.39, 4 Pb 3.48
4 Pb 0.0000 0.0000 0.5005 [1 per cell]  4 Pb 3.23, 4 Sn 3.48, 4 In 3.49

Computed properties:
**ρ**: 8.60 g cm⁻³
**Volume**: 26.8 A^3/atom
**Energy of formation**: 0.097 eV per atom
**Total magnetic moment**: 0.00 Bohr magnetons per cell